4
Lattice="2.699 0.000 0.009 0.000 4.791 0.000 0.006 0.000 4.877" Properties=species:S:1:pos:R:3 comment="TcPtAu2 GGA-PBEsol optimized geometry" mass_density_g_cm3=18.09 e_above_lowest_polymorph_ev_per_atom=0.150 total_magnetization_mub_per_fu=0.01 dos_at_fermi_per_ev_cell=3.839 delta_e_f_ev_per_atom=0.28 spacegroup="P2/m, No. 10" pbc="T T T"
Pt 1.350 2.396 0.004
Au 0.694 0.000 1.234
Au 2.012 0.000 3.652
Tc 0.003 2.396 2.438